# 1
Here is a geometry-optimized Cs2LaBeBr6 structure from Alexandria. Energies are from PBE.

Unit cell a=8.036 b=8.036 c=8.031 alpha=59.98 beta=59.98 gamma=90.00
Last column: magnetic moment on the atom in μB.
Fractional positions:
Cs1 0.750 0.250 0.500  0.00
Cs2 0.250 0.750 0.500  0.00
Be1 0.500 0.500 0.000  0.29
Br1 0.260 0.260 0.480  0.02
Br2 0.740 0.740 0.520  0.02
Br3 0.260 0.260 0.000  0.02
Br4 0.740 0.740 0.000  0.02
Br5 0.740 0.260 0.000  0.02
Br6 0.260 0.740 0.000  0.02
La1 0.000 0.000 0.000  0.19

Theoretical density, g/cm³: 4.046
E, eV/atom: -3.44

***

# 2
Here is a geometry-optimized CsLaBe2Br8 structure from Alexandria. Energies are from PBE.

Unit cell a=6.762 b=6.762 c=11.429 alpha=72.79 beta=72.79 gamma=60.00
Fractional positions:
Cs1 0.500 0.500 0.500
La1 0.000 0.000 0.000
Be1 0.254 0.254 0.237
Be2 0.746 0.746 0.763
Br1 0.189 0.189 0.434
Br2 0.584 0.288 0.165
Br3 0.811 0.811 0.566
Br4 0.963 0.584 0.165
Br5 0.037 0.416 0.835
Br6 0.288 0.963 0.165
Br7 0.712 0.037 0.835
Br8 0.416 0.712 0.835

Theoretical density, g/cm³: 3.627
E, eV/atom: -3.67